# 1
The following is a DFT calculation (PBE-GGA) of a relaxed structure of SiHgP.

abc: 4.7082 4.7082 2.8908
angles: 90.00 90.00 120.00
Fractional positions:
Si (0.0000, 0.0000, 0.0000)
Hg (0.6667, 0.3333, 0.5000)
P (0.3333, 0.6667, 0.0000)

## Properties
- total magnetic moment (μB/f.u.) = 0.00
- excess energy over the best structure of this formula in the dataset (meV/atom) = 577
- volume (Å³ per cell) = 55
- VASP energy (eV/cell) = -9.23
- space group = P-6m2

***

# 2
The following is a DFT calculation (PBE-GGA) of a relaxed structure of SiHg2P.

abc: 7.0281 7.0281 7.0281
angles: 151.69 146.38 44.51
Fractional positions:
Si (0.0000, 0.0000, 0.0000)
Hg (0.2748, 0.7748, 0.5000)
Hg (0.6025, 0.6025, 0.0000)
P (0.8874, 0.3874, 0.5000)

## Properties
- total magnetic moment (μB/f.u.) = 0.00
- excess energy over the best structure of this formula in the dataset (meV/atom) = 285
- volume (Å³ per cell) = 91
- VASP energy (eV/cell) = -10.23
- space group = Imm2

***

# 3
The following is a DFT calculation (PBE-GGA) of a relaxed structure of SiHgP2.

abc: 6.6826 6.6826 6.6826
angles: 129.52 129.52 74.18
Fractional positions:
Si (0.0000, 0.0000, 0.0000)
Si (0.7500, 0.2500, 0.5000)
Hg (0.2500, 0.7500, 0.5000)
Hg (0.5000, 0.5000, 0.0000)
P (0.0798, 0.1250, 0.4548)
P (0.3750, 0.9202, 0.0452)
P (0.6702, 0.6250, 0.5452)
P (0.8750, 0.3298, 0.9548)

## Properties
- total magnetic moment (μB/f.u.) = 0.00
- volume (Å³ per cell) = 173
- VASP energy (eV/cell) = -33.51
- space group = I-42d

***

# 4
The following is a DFT calculation (PBE-GGA) of a relaxed structure of SiHgP2.

abc: 4.9738 4.9738 7.3091
angles: 127.23 127.23 37.25
Fractional positions:
Si (0.0000, 0.0000, 0.0000)
Hg (0.2907, 0.2907, 0.5926)
P (0.4392, 0.4392, 0.2048)
P (0.7620, 0.7620, 0.2004)

## Properties
- total magnetic moment (μB/f.u.) = 0.00
- volume (Å³ per cell) = 84
- VASP energy (eV/cell) = -15.05
- space group = Cm